DFT (PBE) results for a relaxed structure of Ga2As2Br.

```
5
Lattice="-3.102 -3.044 -0.343 0.173 -0.661 4.306 -5.472 2.143 2.755" Properties=species:S:1:pos:R:3 pbc="T T T"
As -5.019 -1.377 2.197
As -3.382 -0.185 4.521
Ga -6.057 -0.586 4.567
Ga -2.344 -0.976 2.151
Br 0.000 0.000 0.000
```

Output
Raw formation energy, meV/atom: -11
ΔE to the lowest computed polymorph, meV per atom: 207